Entry from the Alexandria database: a relaxed structure of MnCuPt2 (PBE).

Cell lengths 2.7894, 2.7894, 7.4359 Å; angles 90.00, 90.00, 90.00 degrees
Element x y z (fractional)
Mn 0.0000 0.0000 0.0000
Cu 0.5000 0.5000 0.7671
Pt 0.0000 0.0000 0.5278
Pt 0.5000 0.5000 0.2463

Summary:
- Magnetic moment: 4.16 μB/cell
- Symmetry: No. 99
- ΔE_f: -0.127 eV per atom



Entry from the Alexandria database: a relaxed structure of Mn3CuPt (PBE).

Cell lengths 4.8590, 4.8590, 4.8590 Å; angles 90.00, 90.00, 90.00 degrees
Element x y z (fractional)
Mn 0.0000 0.0000 0.5000
Mn 0.0000 0.5000 0.0000
Mn 0.5000 0.0000 0.0000
Cu 0.5000 0.5000 0.5000
Pt 0.0000 0.0000 0.0000

Summary:
- Magnetic moment: 13.37 μB/cell
- Symmetry: No. 221
- ΔE to the lowest computed polymorph: 0 meV per atom
- ΔE_f: 0.939 eV per atom